VASP calculation (PBE-GGA) on a geometry-optimized LaPrNdSm3 structure.

abc: 10.7269 10.7269 7.0537
angles: 90.29 90.29 31.30
Atoms (fractional coordinates):
La  0.1463  0.1463  0.0355
La  0.8537  0.8537  0.9645
Pr  0.4448  0.4448  0.7436
Pr  0.5552  0.5552  0.2564
Nd  0.1464  0.1464  0.4712
Nd  0.8536  0.8536  0.5288
Sm  0.0215  0.0215  0.7495
Sm  0.2797  0.2797  0.7489
Sm  0.3370  0.3370  0.2542
Sm  0.6630  0.6630  0.7458
Sm  0.7203  0.7203  0.2511
Sm  0.9785  0.9785  0.2505

Summary:
- Symmetry: No. 12
- Energy: -4.62 eV/atom
- Formation enthalpy at 0 K: 0.156 eV/atom
- ρ: 6893 kg/m³